(1)
{
  "formula": "Al2AsF",
  "functional": "PBE-GGA",
  "state": "optimized geometry",
  "formation_energy_uncorrected_kj_per_mol_atoms": -70.9,
  "volume_a3_per_atom": 18.420,
  "mass_density_g_cm3": 3.3,
  "e_above_lowest_polymorph_ev_per_atom": 0.000,
  "spacegroup": "I-42d",
  "cell": [[-2.3550, 2.3550, 6.6425], [2.3550, -2.3550, 6.6425], [2.3550, 2.3550, -6.6425]],
  "species": ["Al", "Al", "Al", "Al", "As", "As", "F", "F"],
  "fractional_positions": [[0.0481, 0.6250, 0.9231], [0.3750, 0.2981, 0.4231], [0.7019, 0.1250, 0.0769], [0.8750, 0.9519, 0.5769], [0.2500, 0.7500, 0.5000], [0.5000, 0.5000, 0.0000], [0.0000, 0.0000, 0.0000], [0.7500, 0.2500, 0.5000]]
}

---

(2)
{
  "formula": "AlAsF3",
  "functional": "PBE-GGA",
  "state": "optimized geometry",
  "formation_energy_uncorrected_kj_per_mol_atoms": -109.1,
  "volume_a3_per_atom": 17.225,
  "mass_density_g_cm3": 3.1,
  "e_above_lowest_polymorph_ev_per_atom": 0.502,
  "spacegroup": "Pm-3m",
  "cell": [[4.4161, 0.0000, 0.0000], [0.0000, 4.4161, 0.0000], [0.0000, 0.0000, 4.4161]],
  "species": ["Al", "As", "F", "F", "F"],
  "fractional_positions": [[0.0000, 0.0000, 0.0000], [0.5000, 0.5000, 0.5000], [0.0000, 0.5000, 0.5000], [0.5000, 0.0000, 0.5000], [0.5000, 0.5000, 0.0000]]
}

---

(3)
{
  "formula": "AlGe2AsF",
  "functional": "PBE-GGA",
  "state": "optimized geometry",
  "formation_energy_uncorrected_kj_per_mol_atoms": 39.8,
  "volume_a3_per_atom": 25.604,
  "mass_density_g_cm3": 3.5,
  "spacegroup": "P4/mmm",
  "cell": [[5.0769, 0.0000, 0.0000], [0.0000, 5.0769, 0.0000], [0.0000, 0.0000, 4.9668]],
  "species": ["Al", "Ge", "Ge", "As", "F"],
  "fractional_positions": [[0.0000, 0.0000, 0.0000], [0.0000, 0.5000, 0.5000], [0.5000, 0.0000, 0.5000], [0.0000, 0.0000, 0.5000], [0.5000, 0.5000, 0.0000]]
}

---

(4)
{
  "formula": "La2AlAsF",
  "functional": "PBE-GGA",
  "state": "optimized geometry",
  "formation_energy_uncorrected_kj_per_mol_atoms": -51.2,
  "volume_a3_per_atom": 30.399,
  "mass_density_g_cm3": 4.4,
  "spacegroup": "P4/mmm",
  "cell": [[5.7087, 0.0000, 0.0000], [0.0000, 5.7087, 0.0000], [0.0000, 0.0000, 4.6641]],
  "species": ["La", "La", "Al", "As", "F"],
  "fractional_positions": [[0.0000, 0.5000, 0.0000], [0.5000, 0.0000, 0.0000], [0.0000, 0.0000, 0.0000], [0.0000, 0.0000, 0.5000], [0.5000, 0.5000, 0.5000]]
}

---

(5)
{
  "formula": "LaAlAsF2",
  "functional": "PBE-GGA",
  "state": "optimized geometry",
  "formation_energy_uncorrected_kj_per_mol_atoms": -194.5,
  "volume_a3_per_atom": 25.675,
  "mass_density_g_cm3": 3.6,
  "spacegroup": "P4/mmm",
  "cell": [[4.4859, 0.0000, 0.0000], [0.0000, 4.4859, 0.0000], [0.0000, 0.0000, 6.3795]],
  "species": ["La", "Al", "As", "F", "F"],
  "fractional_positions": [[0.0000, 0.0000, 0.0000], [0.5000, 0.5000, 0.5000], [0.0000, 0.0000, 0.5000], [0.0000, 0.5000, 0.0000], [0.5000, 0.0000, 0.0000]]
}